# Th3Zn4Au2 PBE-GGA optimized geometry
# E_form = -462 meV/atom
# Density of states at the Fermi level = 0.800 states/eV per atom
data_Th3Zn4Au2
_chemical_formula_sum 'Th3 Zn4 Au2'
_space_group_name_H-M_alt 'P 1'
_space_group_IT_number 1
_space_group_name_Hall 'P 1'
_cell_length_a 4.637
_cell_length_b 5.883
_cell_length_c 8.735
_cell_angle_alpha 112.71
_cell_angle_beta 90.00
_cell_angle_gamma 113.21
loop_
_atom_site_label
_atom_site_type_symbol
_atom_site_fract_x
_atom_site_fract_y
_atom_site_fract_z
Au1 Au 0.393 0.786 0.727
Th1 Th 0.328 0.656 0.338
Zn1 Zn 0.970 0.940 0.629
Au2 Au 0.607 0.214 0.273
Th2 Th 0.000 0.000 0.000
Zn2 Zn 0.260 0.520 0.933
Th3 Th 0.672 0.344 0.662
Zn3 Zn 0.740 0.480 0.067
Zn4 Zn 0.030 0.060 0.371